A relaxed structure of BaCd2Hg8, computed with PBE-GGA.

Unit cell a=6.390 b=6.390 c=9.503 alpha=90.00 beta=90.00 gamma=90.00
Positions (direct):
Ba  0.000  0.000  0.000
Cd  0.000  0.500  0.500
Cd  0.500  0.000  0.500
Hg  0.258  0.258  0.272
Hg  0.258  0.258  0.728
Hg  0.258  0.742  0.272
Hg  0.258  0.742  0.728
Hg  0.742  0.258  0.272
Hg  0.742  0.258  0.728
Hg  0.742  0.742  0.272
Hg  0.742  0.742  0.728

- spin magnetization (Bohr magnetons per cell) = 0.00
- space group = No. 123
- VASP energy (eV/atom) = -0.617
- energy of formation (eV per atom) = -0.056



A relaxed structure of Ba2Cd5Hg, computed with PBE-GGA.

Unit cell a=9.587 b=9.587 c=10.496 alpha=90.00 beta=90.00 gamma=149.27
Positions (direct):
Ba  0.000  0.000  0.000
Ba  0.000  0.000  0.500
Ba  0.197  0.803  0.750
Ba  0.803  0.197  0.250
Cd  0.187  0.813  0.110
Cd  0.187  0.813  0.390
Cd  0.347  0.653  0.019
Cd  0.347  0.653  0.481
Cd  0.398  0.602  0.750
Cd  0.602  0.398  0.250
Cd  0.653  0.347  0.519
Cd  0.653  0.347  0.981
Cd  0.813  0.187  0.610
Cd  0.813  0.187  0.890
Hg  0.445  0.555  0.250
Hg  0.555  0.445  0.750

- spin magnetization (Bohr magnetons per cell) = 0.00
- space group = No. 63
- VASP energy (eV/atom) = -1.410
- energy of formation (eV per atom) = -0.320



A relaxed structure of BaCd3Hg, computed with PBE-GGA.

Unit cell a=7.251 b=7.251 c=6.785 alpha=90.00 beta=90.00 gamma=124.67
Positions (direct):
Ba  0.249  0.751  0.750
Ba  0.751  0.249  0.250
Cd  0.127  0.873  0.250
Cd  0.263  0.263  0.000
Cd  0.263  0.263  0.500
Cd  0.737  0.737  0.000
Cd  0.737  0.737  0.500
Cd  0.873  0.127  0.750
Hg  0.353  0.647  0.250
Hg  0.647  0.353  0.750

- spin magnetization (Bohr magnetons per cell) = 0.00
- space group = No. 63
- VASP energy (eV/atom) = -1.299
- energy of formation (eV per atom) = -0.305



A relaxed structure of Ba2CdHg2, computed with PBE-GGA.

Unit cell a=6.714 b=6.714 c=12.623 alpha=114.70 beta=114.70 gamma=44.65
Positions (direct):
Ba  0.020  0.020  0.344
Ba  0.192  0.192  0.114
Ba  0.808  0.808  0.886
Ba  0.980  0.980  0.656
Cd  0.277  0.277  0.653
Cd  0.723  0.723  0.347
Hg  0.356  0.356  0.432
Hg  0.480  0.480  0.115
Hg  0.520  0.520  0.885
Hg  0.644  0.644  0.568

- spin magnetization (Bohr magnetons per cell) = 0.00
- space group = No. 12
- VASP energy (eV/atom) = -1.507
- energy of formation (eV per atom) = -0.434



A relaxed structure of Ba3Cd5Hg12, computed with PBE-GGA.

Unit cell a=15.696 b=15.696 c=15.696 alpha=109.47 beta=109.47 gamma=109.47
Positions (direct):
Ba  0.125  0.250  0.375
Ba  0.125  0.375  0.750
Ba  0.250  0.375  0.125
Ba  0.250  0.875  0.625
Ba  0.375  0.125  0.250
Ba  0.375  0.750  0.125
Ba  0.625  0.250  0.875
Ba  0.625  0.875  0.750
Ba  0.750  0.125  0.375
Ba  0.750  0.625  0.875
Ba  0.875  0.625  0.250
Ba  0.875  0.750  0.625
Cd  0.000  0.000  0.000
Cd  0.000  0.000  0.500
Cd  0.000  0.500  0.000
Cd  0.000  0.500  0.500
Cd  0.125  0.750  0.875
Cd  0.125  0.875  0.250
Cd  0.250  0.125  0.875
Cd  0.250  0.625  0.375
Cd  0.375  0.250  0.625
Cd  0.375  0.625  0.750
Cd  0.500  0.000  0.000
Cd  0.500  0.000  0.500
Cd  0.500  0.500  0.000
Cd  0.500  0.500  0.500
Cd  0.625  0.375  0.250
Cd  0.625  0.750  0.375
Cd  0.750  0.375  0.625
Cd  0.750  0.875  0.125
Cd  0.875  0.125  0.750
Cd  0.875  0.250  0.125
Hg  0.015  0.201  0.071
Hg  0.015  0.314  0.944
Hg  0.056  0.571  0.370
Hg  0.056  0.985  0.686
Hg  0.071  0.015  0.201
Hg  0.071  0.556  0.870
Hg  0.130  0.701  0.686
Hg  0.130  0.929  0.444
Hg  0.186  0.201  0.630
Hg  0.186  0.485  0.556
Hg  0.201  0.071  0.015
Hg  0.201  0.630  0.186
Hg  0.299  0.314  0.870
Hg  0.299  0.485  0.429
Hg  0.314  0.870  0.299
Hg  0.314  0.944  0.015
Hg  0.370  0.056  0.571
Hg  0.370  0.814  0.799
Hg  0.429  0.299  0.485
Hg  0.429  0.630  0.944
Hg  0.444  0.130  0.929
Hg  0.444  0.814  0.515
Hg  0.485  0.429  0.299
Hg  0.485  0.556  0.186
Hg  0.515  0.444  0.814
Hg  0.515  0.571  0.701
Hg  0.556  0.186  0.485
Hg  0.556  0.870  0.071
Hg  0.571  0.370  0.056
Hg  0.571  0.701  0.515
Hg  0.630  0.186  0.201
Hg  0.630  0.944  0.429
Hg  0.686  0.056  0.985
Hg  0.686  0.130  0.701
Hg  0.701  0.515  0.571
Hg  0.701  0.686  0.130
Hg  0.799  0.370  0.814
Hg  0.799  0.929  0.985
Hg  0.814  0.515  0.444
Hg  0.814  0.799  0.370
Hg  0.870  0.071  0.556
Hg  0.870  0.299  0.314
Hg  0.929  0.444  0.130
Hg  0.929  0.985  0.799
Hg  0.944  0.015  0.314
Hg  0.944  0.429  0.630
Hg  0.985  0.686  0.056
Hg  0.985  0.799  0.929

- spin magnetization (Bohr magnetons per cell) = 0.00
- space group = No. 230
- VASP energy (eV/atom) = -0.760
- energy of formation (eV per atom) = -0.061



A relaxed structure of BaCd12Hg7, computed with PBE-GGA.

Unit cell a=9.207 b=9.207 c=9.207 alpha=109.47 beta=109.47 gamma=109.47
Positions (direct):
Ba  0.000  0.000  0.000
Cd  0.106  0.755  0.351
Cd  0.245  0.351  0.596
Cd  0.245  0.649  0.894
Cd  0.351  0.106  0.755
Cd  0.351  0.596  0.245
Cd  0.404  0.755  0.649
Cd  0.596  0.245  0.351
Cd  0.649  0.404  0.755
Cd  0.649  0.894  0.245
Cd  0.755  0.351  0.106
Cd  0.755  0.649  0.404
Cd  0.894  0.245  0.649
Hg  0.000  0.000  0.500
Hg  0.000  0.500  0.000
Hg  0.000  0.500  0.500
Hg  0.500  0.000  0.000
Hg  0.500  0.000  0.500
Hg  0.500  0.500  0.000
Hg  0.500  0.500  0.500

- spin magnetization (Bohr magnetons per cell) = 0.00
- space group = No. 204
- VASP energy (eV/atom) = -0.701
- energy of formation (eV per atom) = 0.050



A relaxed structure of Ba3Cd2Hg4, computed with PBE-GGA.

Unit cell a=6.729 b=6.729 c=10.102 alpha=110.61 beta=110.61 gamma=45.07
Positions (direct):
Ba  0.000  0.000  0.000
Ba  0.339  0.339  0.329
Ba  0.661  0.661  0.671
Cd  0.380  0.380  0.714
Cd  0.620  0.620  0.286
Hg  0.066  0.066  0.396
Hg  0.280  0.280  0.941
Hg  0.720  0.720  0.059
Hg  0.934  0.934  0.604

- spin magnetization (Bohr magnetons per cell) = 0.00
- space group = No. 12
- VASP energy (eV/atom) = -1.426
- energy of formation (eV per atom) = -0.448



A relaxed structure of Ba4Cd2Hg, computed with PBE-GGA.

Unit cell a=7.318 b=7.318 c=7.318 alpha=109.26 beta=109.26 gamma=109.88
Positions (direct):
Ba  0.000  0.000  0.500
Ba  0.000  0.500  0.000
Ba  0.500  0.000  0.000
Ba  0.500  0.500  0.500
Cd  0.000  0.500  0.500
Cd  0.500  0.000  0.500
Hg  0.000  0.000  0.000

- spin magnetization (Bohr magnetons per cell) = 0.00
- space group = No. 139
- VASP energy (eV/atom) = -1.700
- energy of formation (eV per atom) = -0.297



What is the formula in the seventh record? Ba3Cd2Hg4